Entry 1:
{
  "formula": "Li5Co3O8",
  "functional": "PBE with a Hubbard U",
  "state": "relaxed",
  "lattice_angstrom": [[-0.354, -0.836, 2.725], [3.973, -2.995, -0.402], [7.104, 5.951, 2.750]],
  "species": ["Li", "Li", "Li", "Li", "Li", "Co", "Co", "Co", "O", "O", "O", "O", "O", "O", "O", "O"],
  "frac_coords": [[0.000, 0.239, 0.255], [0.500, 0.259, 0.745], [0.000, 0.761, 0.745], [0.500, 0.741, 0.255], [0.500, 0.000, 0.500], [0.000, 0.000, 0.000], [0.000, 0.500, 0.500], [0.500, 0.500, 0.000], [0.000, 0.385, 0.889], [0.500, 0.386, 0.391], [0.000, 0.831, 0.387], [0.500, 0.866, 0.884], [0.000, 0.169, 0.613], [0.500, 0.134, 0.116], [0.000, 0.615, 0.111], [0.500, 0.614, 0.609]],
  "total_energy_ev_per_cell": -86.838,
  "e_above_lowest_polymorph_ev_per_atom": 0.057
}

=====

Entry 2:
{
  "formula": "Li5Co3O8",
  "functional": "PBE with a Hubbard U",
  "state": "relaxed",
  "lattice_angstrom": [[4.898, 0.039, 0.000], [-0.818, 4.925, 0.008], [0.017, -1.667, 5.429]],
  "species": ["Li", "Li", "Li", "Li", "Li", "Co", "Co", "Co", "O", "O", "O", "O", "O", "O", "O", "O"],
  "frac_coords": [[0.258, 0.499, 0.120], [0.746, 0.495, 0.370], [0.254, 0.505, 0.630], [0.742, 0.501, 0.880], [0.500, 0.000, 0.000], [0.000, 0.999, 0.246], [0.000, 0.001, 0.754], [0.500, 0.000, 0.500], [0.102, 0.775, 0.942], [0.637, 0.778, 0.210], [0.133, 0.783, 0.446], [0.639, 0.782, 0.678], [0.361, 0.218, 0.322], [0.867, 0.217, 0.554], [0.363, 0.222, 0.790], [0.898, 0.225, 0.058]],
  "total_energy_ev_per_cell": -87.748,
  "e_above_lowest_polymorph_ev_per_atom": 0.000
}

=====

Entry 3:
{
  "formula": "LiCo4O8",
  "functional": "PBE with a Hubbard U",
  "state": "relaxed",
  "lattice_angstrom": [[-0.459, -2.883, 4.816], [3.922, 0.590, 4.025], [-6.104, 8.469, 1.183]],
  "species": ["Li", "Li", "Co", "Co", "Co", "Co", "Co", "Co", "Co", "Co", "O", "O", "O", "O", "O", "O", "O", "O", "O", "O", "O", "O", "O", "O", "O", "O"],
  "frac_coords": [[0.497, 0.002, 0.000], [0.003, 0.498, 0.500], [0.250, 0.750, 0.250], [0.750, 0.250, 0.750], [0.250, 0.750, 0.750], [0.750, 0.750, 0.750], [0.250, 0.250, 0.750], [0.750, 0.250, 0.250], [0.250, 0.250, 0.250], [0.750, 0.750, 0.250], [0.884, 0.389, 0.157], [0.383, 0.890, 0.656], [0.616, 0.111, 0.343], [0.117, 0.610, 0.844], [0.122, 0.605, 0.346], [0.621, 0.106, 0.846], [0.381, 0.389, 0.152], [0.881, 0.890, 0.653], [0.620, 0.606, 0.347], [0.120, 0.106, 0.846], [0.880, 0.894, 0.153], [0.380, 0.394, 0.654], [0.119, 0.111, 0.348], [0.619, 0.610, 0.847], [0.378, 0.895, 0.154], [0.879, 0.394, 0.654]],
  "total_energy_ev_per_cell": -148.348,
  "e_above_lowest_polymorph_ev_per_atom": 0.001
}

=====

Entry 4:
{
  "formula": "Li5Co3O8",
  "functional": "PBE with a Hubbard U",
  "state": "relaxed",
  "lattice_angstrom": [[-1.720, 1.072, -1.970], [4.226, -15.249, -11.988], [-0.900, -2.091, 1.675]],
  "species": ["Co", "Co", "Co", "O", "O", "O", "O", "O", "O", "O", "O", "Li", "Li", "Li", "Li", "Li"],
  "frac_coords": [[0.005, 0.992, 0.010], [0.995, 0.508, 0.990], [0.500, 0.750, 0.000], [0.638, 0.043, 0.275], [0.121, 0.319, 0.242], [0.626, 0.561, 0.252], [0.131, 0.803, 0.263], [0.879, 0.181, 0.758], [0.362, 0.457, 0.725], [0.869, 0.697, 0.737], [0.374, 0.939, 0.748], [0.253, 0.120, 0.506], [0.747, 0.380, 0.494], [0.247, 0.629, 0.495], [0.753, 0.871, 0.505], [0.500, 0.250, 0.000]],
  "total_energy_ev_per_cell": -86.190,
  "e_above_lowest_polymorph_ev_per_atom": 0.097
}

=====

Entry 5:
{
  "formula": "LiCo3O",
  "functional": "PBE with a Hubbard U",
  "state": "relaxed",
  "lattice_angstrom": [[3.782, 0.000, 0.000], [0.000, 3.782, 0.000], [0.000, 0.000, 3.782]],
  "species": ["Co", "Co", "Co", "O", "Li"],
  "frac_coords": [[0.000, 0.500, 0.000], [0.000, 0.000, 0.500], [0.500, 0.000, 0.000], [0.000, 0.000, 0.000], [0.500, 0.500, 0.500]],
  "total_energy_ev_per_cell": -20.771,
  "e_above_lowest_polymorph_ev_per_atom": 0.000
}

=====

Entry 6:
{
  "formula": "Li4Co13O28",
  "functional": "PBE with a Hubbard U",
  "state": "relaxed",
  "lattice_angstrom": [[-0.925, 0.622, 7.387], [-7.519, -0.284, -3.038], [2.378, -8.233, -1.122]],
  "species": ["Li", "Li", "Li", "Li", "Co", "Co", "Co", "Co", "Co", "Co", "Co", "Co", "Co", "Co", "Co", "Co", "Co", "O", "O", "O", "O", "O", "O", "O", "O", "O", "O", "O", "O", "O", "O", "O", "O", "O", "O", "O", "O", "O", "O", "O", "O", "O", "O", "O", "O"],
  "frac_coords": [[0.906, 0.258, 0.209], [0.770, 0.869, 0.650], [0.283, 0.338, 0.138], [0.081, 0.712, 0.813], [0.929, 0.791, 0.206], [0.856, 0.569, 0.425], [0.641, 0.919, 0.058], [0.784, 0.351, 0.640], [0.571, 0.710, 0.278], [0.720, 0.142, 0.861], [0.500, 0.501, 0.500], [0.283, 0.864, 0.141], [0.434, 0.294, 0.723], [0.219, 0.656, 0.363], [0.355, 0.073, 0.932], [0.143, 0.428, 0.571], [0.073, 0.214, 0.795], [0.890, 0.996, 0.190], [0.952, 0.565, 0.245], [0.877, 0.347, 0.450], [0.632, 0.149, 0.048], [0.837, 0.787, 0.398], [0.657, 0.697, 0.092], [0.984, 0.243, 0.972], [0.805, 0.132, 0.669], [0.772, 0.581, 0.615], [0.584, 0.486, 0.311], [0.555, 0.925, 0.248], [0.703, 0.367, 0.826], [0.517, 0.282, 0.531], [0.297, 0.085, 0.123], [0.704, 0.921, 0.867], [0.491, 0.725, 0.475], [0.301, 0.635, 0.174], [0.450, 0.077, 0.747], [0.411, 0.514, 0.685], [0.231, 0.424, 0.379], [0.198, 0.869, 0.332], [0.028, 0.763, 0.035], [0.343, 0.301, 0.912], [0.165, 0.216, 0.607], [0.363, 0.846, 0.948], [0.122, 0.652, 0.547], [0.052, 0.439, 0.754], [0.101, 0.000, 0.800]],
  "total_energy_ev_per_cell": -252.885
}